A relaxed Li3Fe2Si2O8 crystal, computed with PBE+U.

Cell: 5.0513 11.0275 6.2067 Å, 90.00 90.56 90.00°
Sites, in units of the cell vectors:
Li 0.0642 0.0000 0.2475
Li 0.0790 0.9934 0.7387
Li 0.4323 0.8276 0.2714
Li 0.5677 0.3276 0.7286
Li 0.9210 0.4934 0.2613
Li 0.9358 0.5000 0.7525
Fe 0.0736 0.2503 0.4788
Fe 0.4313 0.5839 0.0111
Fe 0.5687 0.0839 0.9889
Fe 0.9264 0.7503 0.5212
Si 0.0744 0.2528 0.9851
Si 0.4193 0.5838 0.5066
Si 0.5807 0.0838 0.4934
Si 0.9256 0.7528 0.0149
O 0.0026 0.3292 0.1983
O 0.0364 0.8224 0.2319
O 0.0518 0.6104 0.0049
O 0.0936 0.5768 0.5065
O 0.3987 0.2349 0.9654
O 0.4719 0.0116 0.2672
O 0.4727 0.0149 0.7161
O 0.4750 0.2227 0.4925
O 0.5250 0.7227 0.5075
O 0.5273 0.5149 0.2839
O 0.5281 0.5116 0.7328
O 0.6013 0.7349 0.0346
O 0.9064 0.0768 0.4935
O 0.9482 0.1104 0.9951
O 0.9636 0.3224 0.7681
O 0.9974 0.8292 0.8017

Properties
E = -6.6976 eV per atom